Record 1
6
Lattice="4.526 0.000 0.000 -2.263 3.919 0.000 0.000 0.000 5.063" Properties=species:S:1:pos:R:3 comment="Zn2P (PBEsol, relaxed)" magmom_total_mub_per_cell=0.00 formation_energy_ev_per_atom=0.186 final_energy_ev_per_cell=-16.792 vol_a3_per_cell=90 dos_at_fermi_per_ev_cell=1.8 pbc="T T T"
Zn 0.000 0.000 0.000
Zn 0.000 0.000 2.531
Zn 0.000 2.613 1.266
Zn 2.263 1.306 3.797
P 0.000 2.613 3.797
P 2.263 1.306 1.266

***

Record 2
12
Lattice="3.271 0.000 0.000 0.000 3.271 0.000 0.000 0.000 17.723" Properties=species:S:1:pos:R:3 comment="Zn2P (PBEsol, relaxed)" magmom_total_mub_per_cell=0.00 formation_energy_ev_per_atom=0.278 final_energy_ev_per_cell=-32.490 vol_a3_per_cell=190 dos_at_fermi_per_ev_cell=3.8 pbc="T T T"
Zn 0.000 0.818 5.389
Zn 0.000 0.818 7.904
Zn 0.000 2.453 9.819
Zn 0.000 2.453 12.334
Zn 1.635 0.818 0.958
Zn 1.635 0.818 3.473
Zn 1.635 2.453 14.250
Zn 1.635 2.453 16.765
P 0.000 0.818 15.508
P 0.000 2.453 2.215
P 1.635 0.818 11.077
P 1.635 2.453 6.646

***

Record 3
4
Lattice="2.421 0.000 0.000 0.000 2.421 0.000 0.000 0.000 10.108" Properties=species:S:1:pos:R:3 comment="ZnP3 (PBEsol, relaxed)" magmom_total_mub_per_cell=0.00 e_above_lowest_polymorph_mev_per_atom=580 formation_energy_ev_per_atom=0.471 final_energy_ev_per_cell=-17.073 vol_a3_per_cell=59 dos_at_fermi_per_ev_cell=2.0 pbc="T T T"
Zn 0.000 0.000 0.000
P 0.000 0.000 5.054
P 1.210 1.210 2.387
P 1.210 1.210 7.721

***

Record 4
24
Lattice="8.763 0.000 0.000 0.000 7.220 0.000 -1.604 0.000 7.320" Properties=species:S:1:pos:R:3 comment="ZnP2 (PBEsol, relaxed)" magmom_total_mub_per_cell=0.00 formation_energy_ev_per_atom=-0.222 final_energy_ev_per_cell=-110.637 vol_a3_per_cell=463 pbc="T T T"
Zn 0.086 1.786 2.888
Zn -0.716 1.824 6.548
Zn 3.078 4.302 1.643
Zn 2.276 6.528 5.303
Zn 4.883 0.692 2.017
Zn 4.081 2.918 5.677
Zn 7.875 5.396 0.772
Zn 7.072 5.435 4.432
P -0.770 5.370 6.549
P 0.032 5.460 2.889
P 1.357 3.744 3.215
P 0.555 7.086 6.875
P 0.634 3.718 6.801
P 1.436 7.112 3.142
P 2.147 4.146 5.246
P 2.949 6.684 1.586
P 4.209 0.536 5.733
P 5.011 3.074 2.074
P 5.723 0.108 4.178
P 6.525 3.502 0.518
P 6.603 0.134 0.445
P 5.801 3.476 4.104
P 7.127 1.760 4.430
P 7.929 1.850 0.770

***

Record 5
16
Lattice="6.341 0.000 0.000 0.000 13.562 0.000 0.000 0.000 3.181" Properties=species:S:1:pos:R:3 comment="ZnP3 (PBEsol, relaxed)" magmom_total_mub_per_cell=0.00 e_above_lowest_polymorph_mev_per_atom=248 formation_energy_ev_per_atom=0.139 final_energy_ev_per_cell=-73.599 vol_a3_per_cell=274 dos_at_fermi_per_ev_cell=4.6 pbc="T T T"
Zn 0.000 0.997 0.795
Zn 0.000 12.565 2.386
Zn 3.171 5.784 2.386
Zn 3.171 7.777 0.795
P 0.000 6.067 0.795
P 0.000 7.494 2.386
P 1.398 4.109 2.386
P 1.398 9.452 0.795
P 1.773 2.672 0.795
P 1.773 10.890 2.386
P 3.171 0.714 2.386
P 3.171 12.848 0.795
P 4.569 2.672 0.795
P 4.569 10.890 2.386
P 4.944 4.109 2.386
P 4.944 9.452 0.795

***

Record 6
12
Lattice="5.870 0.000 0.000 0.000 5.870 0.000 0.000 0.000 5.870" Properties=species:S:1:pos:R:3 comment="ZnP2 (PBEsol, relaxed)" magmom_total_mub_per_cell=0.00 formation_energy_ev_per_atom=0.440 final_energy_ev_per_cell=-47.379 vol_a3_per_cell=202 dos_at_fermi_per_ev_cell=3.6 pbc="T T T"
Zn 0.000 0.000 0.000
Zn 0.000 2.935 2.935
Zn 2.935 0.000 2.935
Zn 2.935 2.935 0.000
P 1.468 1.468 1.468
P 1.468 1.468 4.403
P 1.468 4.403 1.468
P 1.468 4.403 4.403
P 4.403 1.468 1.468
P 4.403 1.468 4.403
P 4.403 4.403 1.468
P 4.403 4.403 4.403

***

Record 7
24
Lattice="5.026 0.000 0.000 0.000 5.026 0.000 0.000 0.000 18.355" Properties=species:S:1:pos:R:3 comment="ZnP2 (PBEsol, relaxed)" magmom_total_mub_per_cell=0.00 formation_energy_ev_per_atom=-0.223 final_energy_ev_per_cell=-110.677 vol_a3_per_cell=464 pbc="T T T"
Zn 0.675 1.742 5.515
Zn 0.771 3.188 10.104
Zn 1.742 0.675 12.840
Zn 1.838 4.254 17.429
Zn 3.188 0.771 8.251
Zn 3.284 4.351 3.663
Zn 4.254 1.838 0.926
Zn 4.351 3.284 14.692
P 0.033 0.104 2.311
P 0.104 0.033 16.044
P 0.906 3.511 1.078
P 0.998 1.607 14.844
P 1.514 4.120 8.099
P 1.607 0.998 3.511
P 2.409 2.545 6.900
P 2.480 2.617 2.278
P 2.545 2.409 11.455
P 2.617 2.480 16.077
P 3.419 4.027 12.688
P 3.511 0.906 17.277
P 4.027 3.419 5.667
P 4.120 1.514 10.256
P 4.922 4.993 6.866
P 4.993 4.922 11.489

***

Record 8
5
Lattice="3.833 0.000 0.000 -1.916 3.319 0.000 0.000 0.000 6.340" Properties=species:S:1:pos:R:3 comment="Zn3P2 (PBEsol, relaxed)" magmom_total_mub_per_cell=0.00 e_above_lowest_polymorph_mev_per_atom=95 formation_energy_ev_per_atom=-0.059 final_energy_ev_per_cell=-16.625 vol_a3_per_cell=81 dos_at_fermi_per_ev_cell=1.1 pbc="T T T"
Zn 0.000 0.000 0.000
Zn 0.000 2.213 2.384
Zn 1.916 1.106 3.956
P 0.000 2.213 4.894
P 1.916 1.106 1.446